DFT (PBE) results for Ba2ZnInH6 after structural relaxation.

Cell: 5.4597 5.4597 18.4748 Å, 90.00 90.00 120.00°
Space group R-3m (No. 166, hexagonal axes)
Symmetry-distinct sites (fractional):
Ba 0.0000 0.0000 0.2342 [6 per cell]
Zn 0.0000 0.0000 0.5000 [3 per cell]
In 0.0000 0.0000 0.0000 [3 per cell]
H 0.0095 0.5047 0.2228 [18 per cell]

Output
VASP energy in eV/atom: -2.99
Size of the total moment in Bohr magnetons per cell: 0.00